(1)
DFT (PBE-GGA) results for an optimized crystal structure of Hf2CdCu.

Summary:
Energy of formation   59 meV per atom

Lattice parameters (Å, degrees): 4.312 4.312 4.116 90.00 90.00 90.00
Sites, in units of the cell vectors:
Hf1 0.000 0.500 0.000
Hf2 0.500 0.000 0.000
Cd1 0.000 0.000 0.500
Cu1 0.500 0.500 0.500

=====

(2)
DFT (PBE-GGA) results for an optimized crystal structure of KPaNiN3.

Summary:
ΔE_f (raw)   -659 meV per atom

Lattice parameters (Å, degrees): 7.711 3.591 8.191 90.00 104.63 90.00
Sites, in units of the cell vectors:
K1 0.180 0.250 0.204
K2 0.820 0.750 0.796
Pa1 0.341 0.750 0.843
Pa2 0.659 0.250 0.157
Ni1 0.068 0.250 0.610
Ni2 0.932 0.750 0.390
N1 0.133 0.750 0.578
N2 0.157 0.250 0.845
N3 0.468 0.750 0.125
N4 0.532 0.250 0.875
N5 0.843 0.750 0.155
N6 0.867 0.250 0.422

=====

(3)
DFT (PBE-GGA) results for an optimized crystal structure of RbZrCuO2.

Summary:
ΔE_f (raw)   -933 meV per atom

Lattice parameters (Å, degrees): 4.136 4.136 9.757 90.00 90.00 90.00
Sites, in units of the cell vectors:
Rb1 0.000 0.000 0.000
Zr1 0.000 0.000 0.500
Cu1 0.500 0.500 0.000
O1 0.000 0.500 0.500
O2 0.500 0.000 0.500